8
Lattice="6.162 0.000 0.000 0.000 6.162 0.000 0.000 0.000 3.883" Properties=species:S:1:pos:R:3 comment="ErAl6Ga (PBE, relaxed)" rho_g_cm3=4.5 magmom_total_mub_per_cell=0.0 n_ef_per_ev_cell=2.52 formation_enthalpy_0k_ev_per_atom=-0.14 pbc="T T T"
Er 0.000 0.000 0.000
Al 0.000 3.081 0.000
Al 1.638 1.638 1.941
Al 1.638 4.523 1.941
Al 3.081 0.000 0.000
Al 4.523 1.638 1.941
Al 4.523 4.523 1.941
Ga 3.081 3.081 0.000